DFT (GGA-PBE) results for crystalline Pt2IF at its relaxed geometry.

Structure (POSCAR):
```
Pt2IF
1.0
0.000 3.231 3.231
3.231 0.000 3.231
3.231 3.231 0.000
I Pt F
1 2 1
direct
0.500 0.500 0.500
0.750 0.750 0.750
0.250 0.250 0.250
0.000 0.000 0.000
```

Calculated values
E: -14.6 eV per cell
SG: No. 225
ΔE to the lowest computed polymorph: 43 meV per atom
ΔE_f (raw): 0.22 eV per atom



DFT (GGA-PBE) results for crystalline Ba2Cu2S3 at its relaxed geometry.

Structure (POSCAR):
```
Ba2Cu2S3
1.0
3.991 0.000 -1.166
-0.219 6.408 -0.748
-0.038 -0.312 7.284
S Ba Cu
3 2 2
direct
0.675 0.223 0.350
0.000 0.500 0.000
0.325 0.777 0.650
0.355 0.273 0.709
0.645 0.727 0.291
0.114 0.275 0.227
0.886 0.725 0.773
```

Calculated values
E: -32.9 eV per cell
SG: No. 12
ΔE_f (raw): -1.22 eV per atom



DFT (GGA-PBE) results for crystalline TaCo3Pt at its relaxed geometry.

Structure (POSCAR):
```
TaCo3Pt
1.0
-0.222 -3.681 -2.555
3.965 -1.352 1.604
-2.086 -2.179 3.320
Pt Co Ta
1 3 1
direct
0.000 0.000 0.000
0.000 0.000 0.500
0.000 0.500 0.000
0.500 0.000 0.000
0.500 0.500 0.500
```

Calculated values
E_form: 1.474 eV/atom
E: -31.8 eV per cell
SG: No. 221
ΔE to the lowest computed polymorph: 1628 meV per atom



DFT (GGA-PBE) results for crystalline RbBa2InRh at its relaxed geometry.

Structure (POSCAR):
```
RbBa2InRh
1.0
6.139 0.000 0.000
0.000 6.139 0.000
0.000 0.000 5.445
Rb Ba In Rh
1 2 1 1
direct
0.500 0.500 0.500
0.000 0.500 0.000
0.500 0.000 0.000
0.000 0.000 0.500
0.000 0.000 0.000
```

Calculated values
E_form: -0.160 eV/atom
E: -15.7 eV per cell
SG: No. 123